Record 1
DFT (PBE) results for a relaxed Zn3MoCl crystal.

Cell and atoms, written as POSCAR:
```
Zn3MoCl
1.0
5.184 0.000 0.000
0.000 5.184 0.000
0.000 0.000 5.184
Zn Mo Cl
3 1 1
Direct
0.000 0.000 0.500
0.000 0.500 0.000
0.500 0.000 0.000
0.000 0.000 0.000
0.500 0.500 0.500
```

- ΔE_f (raw): 815 meV per atom
- D(E_F): 2.177 states/eV/cell
- Space-group type: Pm-3m



Record 2
DFT (PBE) results for a relaxed HfZrIr crystal.

Cell and atoms, written as POSCAR:
```
HfZrIr
1.0
0.000 3.215 3.215
3.215 0.000 3.215
3.215 3.215 0.000
Hf Zr Ir
1 1 1
Direct
0.000 0.000 0.000
0.500 0.500 0.500
0.750 0.750 0.750
```

- Formation enthalpy at 0 K: -0.5676 eV per atom
- D(E_F): 2.542 states/eV/cell
- Space-group type: F-43m



Record 3
DFT (PBE) results for a relaxed Er2GaBiO6 crystal.

Cell and atoms, written as POSCAR:
```
Er2GaBiO6
1.0
5.285 0.000 0.000
0.000 5.285 0.000
0.000 0.000 5.422
Er Ga Bi O
2 1 1 6
Direct
0.000 0.500 0.000
0.500 0.000 0.000
0.000 0.000 0.615
0.500 0.500 0.570
0.000 0.000 0.271
0.237 0.237 0.775
0.237 0.763 0.775
0.500 0.500 0.147
0.763 0.237 0.775
0.763 0.763 0.775
```

- ΔE_f (raw): -2275 meV per atom
- D(E_F): 0.000 states/eV/cell
- Space-group type: P4mm



Record 4
DFT (PBE) results for a relaxed Pa2P3Ir4Rh crystal.

Cell and atoms, written as POSCAR:
```
Pa2P3Ir4Rh
1.0
3.923 0.000 0.000
0.000 3.923 0.000
0.000 0.000 10.879
Pa P Ir Rh
2 3 4 1
Direct
0.000 0.500 0.246
0.500 0.000 0.754
0.000 0.000 0.000
0.000 0.500 0.625
0.500 0.000 0.375
0.000 0.000 0.500
0.000 0.500 0.831
0.500 0.000 0.169
0.500 0.500 0.500
0.500 0.500 0.000
```

- Formation enthalpy at 0 K: -0.8219 eV per atom
- D(E_F): 3.174 states/eV/cell
- Space-group type: P-4m2



Record 5
DFT (PBE) results for a relaxed La3SmHo2Te6 crystal.

Cell and atoms, written as POSCAR:
```
La3SmHo2Te6
1.0
3.845 -6.697 0.000
3.845 6.697 0.000
-2.581 0.000 7.385
La Sm Ho Te
3 1 2 6
Direct
0.000 0.000 0.000
0.337 0.663 0.000
0.663 0.337 0.000
0.500 0.500 0.500
0.167 0.833 0.500
0.833 0.167 0.500
0.082 0.421 0.264
0.238 0.238 0.732
0.421 0.082 0.264
0.579 0.918 0.736
0.762 0.762 0.268
0.918 0.579 0.736
```

- ΔE_f (raw): -1451 meV per atom
- D(E_F): 7.169 states/eV/cell
- Space-group type: C2/m



Record 6
DFT (PBE) results for a relaxed La5Pm2Ho2 crystal.

Cell and atoms, written as POSCAR:
```
La5Pm2Ho2
1.0
-7.528 5.929 3.493
7.528 -5.929 3.493
7.528 5.929 -3.493
La Pm Ho
10 4 4
Direct
0.065 0.484 0.870
0.065 0.695 0.081
0.074 0.076 0.498
0.230 0.051 0.281
0.230 0.449 0.680
0.578 0.576 0.502
0.614 0.195 0.130
0.614 0.984 0.919
0.770 0.551 0.320
0.770 0.949 0.719
0.616 0.870 0.246
0.624 0.370 0.754
0.644 0.144 0.500
0.644 0.644 0.000
0.170 0.306 0.122
0.170 0.548 0.364
0.184 0.048 0.878
0.184 0.806 0.636
```

- Formation enthalpy at 0 K: 0.1885 eV per atom
- D(E_F): 23.865 states/eV/cell
- Space-group type: Ima2



Record 7
DFT (PBE) results for a relaxed Hg2BrClO crystal.

Cell and atoms, written as POSCAR:
```
Hg2BrClO
1.0
9.364 -1.982 0.000
9.364 1.982 0.000
-2.643 0.000 7.735
Hg Br Cl O
4 2 2 2
Direct
0.050 0.050 0.339
0.409 0.409 0.025
0.591 0.591 0.975
0.950 0.950 0.661
0.182 0.182 0.148
0.818 0.818 0.852
0.108 0.108 0.662
0.892 0.892 0.338
0.474 0.474 0.799
0.526 0.526 0.201
```

- ΔE_f (raw): -365 meV per atom
- Space-group type: C2/m